## RbSc2Mn (PBE-GGA)

Data for an optimized crystal structure of RbSc2Mn.

Unit cell a=5.0238 b=5.0238 c=5.0238 alpha=60.00 beta=60.00 gamma=60.00
Closest atoms and distances in Å follow each position.
Sites, in units of the cell vectors:
Rb  0.0000  0.0000  0.0000  8 Sc 3.08
Sc  0.2500  0.2500  0.2500  4 Mn 3.08, 4 Rb 3.08
Sc  0.7500  0.7500  0.7500  4 Mn 3.08, 4 Rb 3.08
Mn  0.5000  0.5000  0.5000  8 Sc 3.08

Calculated values
Fermi-level density of states = 1.24 states/eV/atom
Space-group type = No. 225
V = 22.415 Å³/atom
ΔE_f = 1137 meV per atom
Total DFT energy (no corrections) = -4.5634 eV per atom
Crystal system = cubic